A relaxed CdSbPt crystal. Source: Alexandria via LeMat-Bulk, functional PBE.

a = 6.4997 Å, b = 6.4994 Å, c = 3.2827 Å
α = 75.38°, β = 75.37°, γ = 29.25°
Element x y z (fractional)
Pt1 0.3283 0.3283 0.6717
Sb1 0.6956 0.6956 0.3044
Cd1 0.9761 0.9761 0.0239

Results
As for the energy relative to the elements, uncorrected: -0.1259 eV per atom. The density of states at the Fermi level comes out at 2.52 states/eV/cell. Its space-group type is I4mm, No. 107.